## LaFeSbTe2 (GGA-PBEsol)

Data for crystalline LaFeSbTe2 at its relaxed geometry.

a b c (Å): 4.791 5.218 5.218
angles (deg): 90.00 90.00 90.00
Each line ends with the local moment (μB).
Fractional coordinates of all 5 atoms:
1 Te 0.000 0.000 0.500  -0.01
2 Te 0.000 0.500 0.000  -0.01
3 La 0.500 0.500 0.500  0.02
4 Sb 0.500 0.000 0.000  -0.03
5 Fe 0.000 0.000 0.000  1.75

* formation energy from raw total energies: -351 meV/atom